4
Lattice="4.424 0.000 0.000 0.000 4.424 0.000 0.000 0.000 3.271" Properties=species:S:1:pos:R:3 comment="LiMgAu2 GGA-PBEsol optimized geometry" energy_ev_per_atom=-3.435 sg="P4/mmm, No. 123" pbc="T T T"
Li 0.000 0.000 0.000
Mg 2.212 2.212 0.000
Au 0.000 2.212 1.635
Au 2.212 0.000 1.635